# U2Pd2Pt7

Crystalline U2Pd2Pt7 at its relaxed geometry (PBE, Alexandria via LeMat-Bulk).

Results
Formation energy from the elements   -0.40 eV/atom
SG   C2/m, No. 12
Raw total energy   -79.6 eV per cell

Lattice parameters (Å, degrees): 6.541 6.541 4.833 96.23 96.23 81.21
Fractional positions:
1 U 0.209 0.791 0.000
2 U 0.791 0.209 0.000
3 Pd 0.246 0.246 0.247
4 Pd 0.754 0.754 0.753
5 Pt 0.000 0.000 0.500
6 Pt 0.048 0.394 0.737
7 Pt 0.394 0.048 0.737
8 Pt 0.453 0.453 0.728
9 Pt 0.547 0.547 0.272
10 Pt 0.606 0.952 0.263
11 Pt 0.952 0.606 0.263

---

# BaF4

Crystalline BaF4 at its relaxed geometry (PBE, Alexandria via LeMat-Bulk).

Results
SG   C2/m, No. 12
Excess energy over the best structure of this formula in the dataset   0 meV per atom
Raw total energy   -41.3 eV per cell

Lattice parameters (Å, degrees): 8.199 4.764 4.950 90.00 122.91 90.00
Fractional positions:
1 Ba 0.000 0.000 0.000
2 Ba 0.500 0.500 0.000
3 F 0.121 0.500 0.861
4 F 0.221 0.000 0.665
5 F 0.279 0.500 0.335
6 F 0.379 0.000 0.139
7 F 0.621 0.000 0.861
8 F 0.721 0.500 0.665
9 F 0.779 0.000 0.335
10 F 0.879 0.500 0.139

---

# AlMoAu

Crystalline AlMoAu at its relaxed geometry (PBE, Alexandria via LeMat-Bulk).

Results
Formation energy from the elements   0.00 eV/atom
SG   P3m1, No. 156
Excess energy over the best structure of this formula in the dataset   7 meV per atom
Raw total energy   -17.9 eV per cell

Lattice parameters (Å, degrees): 2.870 2.870 6.836 90.00 90.00 120.00
Fractional positions:
1 Al 0.000 0.000 0.000
2 Mo 0.667 0.333 0.681
3 Au 0.333 0.667 0.328

---

# NpSe2Br8

Crystalline NpSe2Br8 at its relaxed geometry (PBE, Alexandria via LeMat-Bulk).

Results
SG   C2/m, No. 12
Excess energy over the best structure of this formula in the dataset   0 meV per atom
Raw total energy   -39.8 eV per cell

Lattice parameters (Å, degrees): 7.571 7.571 10.392 100.15 100.15 108.90
Fractional positions:
1 Np 0.000 0.000 0.000
2 Se 0.086 0.086 0.430
3 Se 0.914 0.914 0.570
4 Br 0.045 0.741 0.134
5 Br 0.259 0.955 0.866
6 Br 0.281 0.281 0.201
7 Br 0.322 0.322 0.608
8 Br 0.678 0.678 0.392
9 Br 0.719 0.719 0.799
10 Br 0.741 0.045 0.134
11 Br 0.955 0.259 0.866